No. 1
Compound: LaTm4Hg4
Source: the Alexandria database
Functional: GGA-PBE
Structure: optimized geometry

a = 5.3321 Å, b = 9.7377 Å, c = 9.7377 Å
α = 90.00°, β = 90.00°, γ = 90.00°
Atoms (fractional coordinates):
La 0.0000 0.0000 0.0000
La 0.5000 0.5000 0.5000
Tm 0.4844 0.4083 0.8577
Tm 0.9844 0.6423 0.9083
Tm 0.4844 0.5917 0.1423
Tm 0.0156 0.0917 0.6423
Tm 0.5156 0.8577 0.5917
Tm 0.0156 0.9083 0.3577
Tm 0.9844 0.3577 0.0917
Tm 0.5156 0.1423 0.4083
Hg 0.5161 0.8992 0.2064
Hg 0.5161 0.1008 0.7936
Hg 0.0161 0.7064 0.6008
Hg 0.9839 0.3992 0.7064
Hg 0.9839 0.6008 0.2936
Hg 0.4839 0.2064 0.1008
Hg 0.4839 0.7936 0.8992
Hg 0.0161 0.2936 0.3992


No. 2
Compound: Ho4CdAg2Ir
Source: the Alexandria database
Functional: GGA-PBE
Structure: optimized geometry

a = 5.0784 Å, b = 5.0784 Å, c = 8.7758 Å
α = 73.18°, β = 73.18°, γ = 60.00°
Atoms (fractional coordinates):
Ho 0.3851 0.3851 0.8447
Ho 0.8676 0.8676 0.3971
Ho 0.1324 0.1324 0.6029
Ho 0.6149 0.6149 0.1553
Cd 0.0000 0.0000 0.0000
Ag 0.7408 0.7408 0.7775
Ag 0.2592 0.2592 0.2225
Ir 0.5000 0.5000 0.5000


No. 3
Compound: HfHgC2
Source: the Alexandria database
Functional: GGA-PBE
Structure: optimized geometry

a = 5.0963 Å, b = 5.0963 Å, c = 6.3063 Å
α = 66.17°, β = 66.17°, γ = 90.00°
Atoms (fractional coordinates):
C 0.6038 0.1250 0.2500
C 0.1462 0.6250 0.2500
C 0.3750 0.3962 0.7500
C 0.8750 0.8538 0.7500
Hf 0.5000 0.5000 0.0000
Hf 0.2500 0.7500 0.5000
Hg 0.0000 0.0000 0.0000
Hg 0.7500 0.2500 0.5000


No. 4
Compound: Ta2AlW
Source: the Alexandria database
Functional: GGA-PBE
Structure: optimized geometry

a = 2.7771 Å, b = 2.7771 Å, c = 8.8692 Å
α = 90.00°, β = 90.00°, γ = 90.00°
Atoms (fractional coordinates):
Al 0.5000 0.5000 0.7446
W 0.0000 0.0000 0.5156
Ta 0.0000 0.0000 0.9867
Ta 0.5000 0.5000 0.2531


Number 1: formation energy from the elements -0.252 eV/atom. Number 2: formation energy from the elements -0.504 eV/atom. Number 3: formation energy from the elements 1.077 eV/atom. Number 4: formation energy from the elements 0.048 eV/atom.